The following is a PBE calculation of a relaxed CeY14Ho crystal, from Alexandria.

Summary:
The crystal system is tetragonal. The total magnetization is 1.0 Bohr magnetons per cell. The formation energy comes out at 34.3 meV/atom.

Cell: 7.1478 7.1478 10.0930 Å, 90.00 90.00 90.00°
Closest atoms and distances in Å follow each position.
Space group P4/mmm (No. 123)
Inequivalent atoms, fractional coordinates:
Ce (0.0000, 0.0000, 0.0000)  12 Y 3.56-3.57
Y (0.0000, 0.0000, 0.5000)  12 Y 3.57-3.58
Y (0.0000, 0.5000, 0.0000)  8 Y 3.56, 2 Ce 3.57, 2 Ho 3.57
Y (0.0000, 0.5000, 0.5000)  12 Y 3.57-3.58
Y (0.2492, 0.2492, 0.2486)  1 Ce 3.56, 10 Y 3.56-3.59, 1 Ho 3.57
Y (0.5000, 0.5000, 0.5000)  12 Y 3.57-3.59
Ho (0.5000, 0.5000, 0.0000)  12 Y 3.57

The following is a PBE calculation of a relaxed SrNdGa crystal, from Alexandria.

Summary:
The energy relative to the lowest polymorph listed for this composition is 0.0 meV/atom. The crystal system is tetragonal. The total magnetization is 0.0 Bohr magnetons per cell. The formation energy comes out at -276.6 meV/atom.

Cell: 3.8056 3.8056 13.8162 Å, 90.00 90.00 90.00°
Closest atoms and distances in Å follow each position.
Space group I4mm (No. 107)
Inequivalent atoms, fractional coordinates:
Sr (0.0000, 0.0000, 0.0000)  4 Ga 3.43, 1 Nd 3.67, 4 Sr 3.81
Nd (0.0000, 0.0000, 0.2655)  4 Ga 3.10
Ga (0.0000, 0.0000, 0.6534)  4 Nd 3.10, 4 Sr 3.43